First-principles (PBE with a Hubbard U) data for a geometry-optimized BaMnNO2 structure, as listed in Alexandria.

Calculated values
- Energy: -0.488 Ry/atom
- Magnetic moment: 2.0 μB per cell
- Space-group type: P4/mmm
- Calculated volume: 67.50 Å³/cell
- N(E_F): 1.64 states/eV/cell

abc: 4.1666 4.1666 3.8884
angles: 90.00 90.00 90.00
Site moments in Bohr magnetons follow the coordinates.
Fractional positions:
1 Ba 0.5000 0.5000 0.5000  -0.01
2 O 0.0000 0.5000 0.0000  -0.21
3 O 0.5000 0.0000 0.0000  -0.21
4 N 0.0000 0.0000 0.5000  -0.90
5 Mn 0.0000 0.0000 0.0000  3.65